A relaxed structure of MgCo2O4, computed with GGA+U.

abc: 8.6656 2.8277 10.0163
angles: 90.00 90.00 90.00
Closest atoms and distances in Å follow each position.
Element x y z (fractional)
Mg1 0.2390 0.2500 0.1635  7 O 2.17-2.24
Mg2 0.2610 0.7500 0.6635  7 O 2.17-2.24
Mg3 0.7390 0.2500 0.3365  7 O 2.17-2.24
Mg4 0.7610 0.7500 0.8365  7 O 2.17-2.24
Co1 0.0504 0.2500 0.3830  6 O 1.91-1.95
Co2 0.0923 0.2500 0.9033  6 O 1.88-2.00
Co3 0.4077 0.7500 0.4033  6 O 1.88-2.00
Co4 0.4496 0.7500 0.8830  6 O 1.91-1.95
Co5 0.5504 0.2500 0.1170  6 O 1.91-1.95
Co6 0.5923 0.2500 0.5967  6 O 1.88-2.00
Co7 0.9077 0.7500 0.0967  6 O 1.88-2.00
Co8 0.9496 0.7500 0.6170  6 O 1.91-1.95
O1 0.0539 0.7500 0.7845  3 Co 1.88-1.91
O2 0.0924 0.2500 0.5704  3 Co 1.91-1.94
O3 0.1168 0.7500 0.0383  3 Co 1.90-1.97
O4 0.1933 0.7500 0.3298  3 Co 1.95-2.00
O5 0.3067 0.2500 0.8298  3 Co 1.95-2.00
O6 0.3832 0.2500 0.5383  3 Co 1.90-1.97
O7 0.4076 0.7500 0.0704  3 Co 1.91-1.94
O8 0.4461 0.2500 0.2845  3 Co 1.88-1.91
O9 0.5539 0.7500 0.7155  3 Co 1.88-1.91
O10 0.5924 0.2500 0.9296  3 Co 1.91-1.94
O11 0.6168 0.7500 0.4617  3 Co 1.90-1.97
O12 0.6933 0.7500 0.1702  3 Co 1.95-2.00
O13 0.8067 0.2500 0.6702  3 Co 1.95-2.00
O14 0.8832 0.2500 0.9617  3 Co 1.90-1.97
O15 0.9076 0.7500 0.4296  3 Co 1.91-1.94
O16 0.9461 0.2500 0.2155  3 Co 1.88-1.91

Results
N(E_F) = 0.00 states/eV/cell
Crystal system = orthorhombic
Polymorph energy (0 for the lowest one) = 84 meV/atom